No. 1
Material: HoEr2Ni9
Method: DFT, GGA-PBE
State: optimized geometry

**E_tot**: -70.941 eV/f.u.
**Energy of formation**: -5.206 eV per formula unit

Cell lengths 4.9446, 4.9446, 24.2243 Å; angles 90.00, 90.00, 120.00 degrees
Space group R-3m (No. 166, hexagonal axes)
Symmetry-distinct sites (fractional):
Ho 0.0000 0.0000 0.0000 (multiplicity 3)
Er 0.0000 0.0000 0.1391 (multiplicity 6)
Ni 0.0000 0.0000 0.3332 (multiplicity 6)
Ni 0.0000 0.0000 0.5000 (multiplicity 3)
Ni 0.0014 0.5007 0.9176 (multiplicity 18)


No. 2
Material: Pr2ErSn
Method: DFT, GGA-PBE
State: optimized geometry

**E_tot**: -18.359 eV/f.u.
**Energy of formation**: -0.234 eV per formula unit
**E above lowest polymorph**: 366 meV/atom

Cell lengths 3.4659, 27.5064, 5.6873 Å; angles 90.00, 90.00, 90.00 degrees
Space group Cmcm (No. 63)
Symmetry-distinct sites (fractional):
Pr 0.0000 0.0943 0.2500 (multiplicity 4)
Pr 0.0000 0.1885 0.7500 (multiplicity 4)
Er 0.0000 0.0279 0.7500 (multiplicity 4)
Sn 0.0000 0.3045 0.7500 (multiplicity 4)


No. 3
Material: LuHfIn2
Method: DFT, GGA-PBE
State: optimized geometry

**E_tot**: -20.465 eV/f.u.
**Energy of formation**: -0.513 eV per formula unit
**E above lowest polymorph**: 81 meV/atom

Cell lengths 3.3763, 3.3763, 29.8326 Å; angles 90.00, 90.00, 120.00 degrees
Space group R-3m (No. 166, hexagonal axes)
Symmetry-distinct sites (fractional):
Lu 0.0000 0.0000 0.0000 (multiplicity 3)
Hf 0.0000 0.0000 0.5000 (multiplicity 3)
In 0.0000 0.0000 0.2479 (multiplicity 6)